(1)
## Cs4KPu3I12 (PBE)

Data for a geometry-optimized Cs4KPu3I12 structure.

POSCAR file:
```
Cs4KPu3I12
1.0
-3.456 6.125 8.548
-6.130 -9.192 -0.670
10.619 -2.747 1.485
Pu I Cs K
3 12 4 1
Direct
0.500 0.500 0.000 Pu
0.000 0.500 0.500 Pu
0.500 0.000 0.500 Pu
0.741 0.000 0.741 I
0.250 0.500 0.750 I
0.000 0.741 0.741 I
0.000 0.259 0.259 I
0.750 0.500 0.250 I
0.750 0.250 0.500 I
0.741 0.741 0.000 I
0.500 0.750 0.250 I
0.250 0.750 0.500 I
0.259 0.259 0.000 I
0.259 0.000 0.259 I
0.500 0.250 0.750 I
0.500 0.000 0.000 Cs
0.500 0.500 0.500 Cs
0.000 0.500 0.000 Cs
0.000 0.000 0.500 Cs
0.000 0.000 0.000 K
```

Summary:
E_form (uncorrected)   -125.1 kJ/mol of atoms
Density   4.49 g/cm³

***

(2)
## Y3CN (PBE)

Data for a geometry-optimized Y3CN structure.

POSCAR file:
```
Y3CN
1.0
-4.322 -1.576 -0.289
0.729 -2.675 3.682
-1.427 3.407 2.757
N Y C
1 3 1
Direct
0.000 0.000 0.000 N
0.000 0.000 0.500 Y
0.500 0.000 0.000 Y
0.000 0.500 0.000 Y
0.500 0.500 0.500 C
```

Summary:
E_form (uncorrected)   2.7 kJ/mol of atoms
Energy relative to the lowest polymorph listed for this composition   0.0000 eV/atom
Density   4.96 g/cm³

***

(3)
## Li5HgPt (PBE)

Data for a geometry-optimized Li5HgPt structure.

POSCAR file:
```
Li5HgPt
1.0
4.755 -0.680 -0.295
0.864 4.725 -0.295
1.869 1.346 9.768
Li Hg Pt
10 2 2
Direct
0.910 0.525 0.623 Li
0.477 0.199 0.570 Li
0.475 0.090 0.877 Li
0.199 0.477 0.070 Li
0.026 0.974 0.250 Li
0.523 0.801 0.430 Li
0.974 0.026 0.750 Li
0.801 0.523 0.930 Li
0.090 0.475 0.377 Li
0.525 0.910 0.123 Li
0.380 0.620 0.750 Hg
0.620 0.380 0.250 Hg
0.000 0.000 0.000 Pt
0.000 0.000 0.500 Pt
```

Summary:
Energy relative to the elements   -7.38 kcal/mol of atoms
Energy relative to the lowest polymorph listed for this composition   0.0000 eV/atom
Density   6.22 g/cm³

***

(4)
## K3Cd2Sb4 (PBE)

Data for a geometry-optimized K3Cd2Sb4 structure.

POSCAR file:
```
K3Cd2Sb4
1.0
5.174 0.000 0.000
-2.587 6.208 0.508
0.000 -1.803 9.282
Cd K Sb
2 3 4
Direct
0.285 0.570 0.638 Cd
0.715 0.430 0.362 Cd
0.593 0.186 0.707 K
0.000 0.000 0.000 K
0.407 0.814 0.293 K
0.904 0.808 0.585 Sb
0.708 0.416 0.054 Sb
0.096 0.192 0.415 Sb
0.292 0.584 0.946 Sb
```

Summary:
E_form (uncorrected)   -30.7 kJ/mol of atoms
Density   4.55 g/cm³

***

(5)
## CeTmPu2 (PBE)

Data for a geometry-optimized CeTmPu2 structure.

POSCAR file:
```
CeTmPu2
1.0
3.383 0.000 0.000
1.691 2.929 0.000
1.691 0.976 10.917
Pu Ce Tm
2 1 1
Direct
0.753 0.753 0.740 Pu
0.247 0.247 0.260 Pu
0.500 0.500 0.500 Ce
0.000 0.000 0.000 Tm
```

Summary:
Energy relative to the elements   3.89 kcal/mol of atoms
Energy relative to the lowest polymorph listed for this composition   0.0285 eV/atom
Density   12.23 g/cm³

***

(6)
## Li2In5Hg5 (PBE)

Data for a geometry-optimized Li2In5Hg5 structure.

POSCAR file:
```
Li2In5Hg5
1.0
4.791 0.000 0.000
-2.396 6.281 -0.448
0.000 -3.613 9.951
In Hg Li
5 5 2
Direct
0.606 0.212 0.262 In
0.500 0.000 0.500 In
0.657 0.314 0.986 In
0.343 0.686 0.014 In
0.394 0.788 0.738 In
0.147 0.293 0.477 Hg
0.266 0.531 0.252 Hg
0.000 0.000 0.000 Hg
0.853 0.707 0.523 Hg
0.734 0.469 0.748 Hg
0.091 0.181 0.749 Li
0.909 0.819 0.251 Li
```

Summary:
Energy relative to the elements   -2.17 kcal/mol of atoms
Energy relative to the lowest polymorph listed for this composition   0.0066 eV/atom
Density   9.06 g/cm³

***

(7)
## Sc4Al (PBE)

Data for a geometry-optimized Sc4Al structure.

POSCAR file:
```
Sc4Al
1.0
6.305 0.000 0.000
3.152 4.713 0.599
3.152 1.413 7.721
Sc Al
8 2
Direct
0.802 0.605 0.791 Sc
0.302 0.604 0.791 Sc
0.198 0.395 0.209 Sc
0.698 0.396 0.209 Sc
0.849 0.199 0.603 Sc
0.651 0.801 0.397 Sc
0.151 0.801 0.397 Sc
0.349 0.199 0.603 Sc
0.750 0.000 0.000 Al
0.250 0.000 0.000 Al
```

Summary:
Energy relative to the elements   -2.33 kcal/mol of atoms
Energy relative to the lowest polymorph listed for this composition   0.0342 eV/atom
Density   3.07 g/cm³

***

(8)
## ReRu (PBE)

Data for a geometry-optimized ReRu structure.

POSCAR file:
```
ReRu
1.0
2.737 0.000 0.000
-1.369 2.370 0.000
0.000 0.000 13.380
Re Ru
3 3
Direct
0.333 0.667 0.667 Re
0.000 0.000 0.000 Re
0.667 0.333 0.333 Re
0.000 0.000 0.500 Ru
0.667 0.333 0.833 Ru
0.333 0.667 0.167 Ru
```

Summary:
Energy relative to the elements   1.11 kcal/mol of atoms
Density   16.48 g/cm³

***

(9)
## Be2ZnPt2 (PBE)

Data for a geometry-optimized Be2ZnPt2 structure.

POSCAR file:
```
Be2ZnPt2
1.0
6.697 0.000 0.000
0.000 6.697 0.000
0.000 0.000 2.741
Be Zn Pt
4 2 4
Direct
0.624 0.124 0.000 Be
0.124 0.376 0.000 Be
0.376 0.876 0.000 Be
0.876 0.624 0.000 Be
0.500 0.500 0.000 Zn
0.000 0.000 0.000 Zn
0.830 0.330 0.500 Pt
0.170 0.670 0.500 Pt
0.670 0.830 0.500 Pt
0.330 0.170 0.500 Pt
```

Summary:
Energy relative to the elements   -14.57 kcal/mol of atoms
Energy relative to the lowest polymorph listed for this composition   0.0000 eV/atom
Density   12.79 g/cm³

***

(10)
## NbGeTe (PBE)

Data for a geometry-optimized NbGeTe structure.

POSCAR file:
```
NbGeTe
1.0
3.390 0.000 0.000
0.000 3.390 0.000
0.000 0.000 5.858
Nb Ge Te
1 1 1
Direct
0.000 0.000 0.841 Nb
0.500 0.500 0.608 Ge
0.500 0.500 0.127 Te
```

Summary:
E_form (uncorrected)   -6.8 kJ/mol of atoms
Density   7.23 g/cm³

***

(11)
## Na2AcPb2 (PBE)

Data for a geometry-optimized Na2AcPb2 structure.

POSCAR file:
```
Na2AcPb2
1.0
5.124 0.000 -0.984
-0.164 4.351 -0.854
0.268 0.738 15.227
Pb Ac Na
4 2 4
Direct
0.276 0.026 0.553 Pb
0.378 0.128 0.755 Pb
0.724 0.974 0.447 Pb
0.622 0.872 0.245 Pb
0.822 0.572 0.644 Ac
0.178 0.428 0.356 Ac
0.455 0.705 0.910 Na
0.056 0.806 0.112 Na
0.545 0.295 0.090 Na
0.944 0.194 0.888 Na
```

Summary:
Energy relative to the elements   -5.12 kcal/mol of atoms
Energy relative to the lowest polymorph listed for this composition   0.0525 eV/atom
Density   6.64 g/cm³

***

(12)
## K2RbSeO (PBE)

Data for a geometry-optimized K2RbSeO structure.

POSCAR file:
```
K2RbSeO
1.0
-2.222 2.287 4.295
2.845 -3.220 3.186
3.890 3.554 0.119
O Se Rb K
1 1 1 2
Direct
0.000 0.000 0.000 O
0.500 0.500 0.500 Se
0.000 0.000 0.500 Rb
0.000 0.500 0.000 K
0.500 0.000 0.000 K
```

Summary:
E_form (uncorrected)   -90.7 kJ/mol of atoms
Density   2.85 g/cm³